# 1
Compound: Nb3AlAs
Source: the Alexandria database
Functional: PBE
Structure: optimized geometry

crystal system: cubic

Cell lengths 4.7467, 4.7467, 4.7467 Å; angles 90.00, 90.00, 90.00 degrees
Space group Pm-3m (No. 221)
Asymmetric unit:
Nb1 0.0000 0.0000 0.5000 x3
Al1 0.5000 0.5000 0.5000 x1
As1 0.0000 0.0000 0.0000 x1

---

# 2
Compound: NbAlAs3
Source: the Alexandria database
Functional: PBE
Structure: optimized geometry

crystal system: cubic

Cell lengths 5.0206, 5.0206, 5.0206 Å; angles 90.00, 90.00, 90.00 degrees
Space group Pm-3m (No. 221)
Asymmetric unit:
Nb1 0.0000 0.0000 0.0000 x1
Al1 0.5000 0.5000 0.5000 x1
As1 0.0000 0.0000 0.5000 x3

---

Number 1: relative energy among the computed polymorphs 0.000 eV per atom, ΔE_f 0.62 eV per atom. Number 2: relative energy among the computed polymorphs 0.000 eV per atom, ΔE_f 0.37 eV per atom.